A plane-wave DFT calculation with PBE was carried out for K2PdSeO4 after structural relaxation.

Calculated values
**Raw formation energy**: -0.78 eV per atom

a b c (Å): 6.1354 6.5109 9.9702
angles (deg): 81.66 72.08 61.89
With the nearest neighbours (Å) after each atom.
Positions (direct):
K 0.1802 0.0000 0.6396  4 O 2.95-3.19
K 0.8198 0.0000 0.3604  4 O 2.95-3.19
K 0.5698 0.5000 0.8604  4 O 2.95-3.19
K 0.9302 0.5000 0.1396  4 O 2.95-3.19
Pd 0.7500 0.5000 0.5000  4 O 2.46
Pd 0.0000 0.0000 0.0000  4 O 2.46
Se 0.2500 0.5000 0.5000  4 O 1.69
Se 0.5000 0.0000 0.0000  4 O 1.69
O 0.3744 0.8247 0.0951  1 Se 1.69
O 0.2942 0.1753 0.9049  1 Se 1.69
O 0.8009 0.8247 0.9049  1 Se 1.69
O 0.5305 0.1753 0.0951  1 Se 1.69
O 0.3756 0.6753 0.4049  1 Se 1.69
O 0.4558 0.3247 0.5951  1 Se 1.69
O 0.9491 0.6753 0.5951  1 Se 1.69
O 0.2195 0.3247 0.4049  1 Se 1.69


A plane-wave DFT calculation with PBE was carried out for AlH2Cl5 after structural relaxation.

Calculated values
**Energy**: -3.39 eV/atom

a b c (Å): 7.3846 7.3850 7.3860
angles (deg): 76.01 128.38 128.37
With the nearest neighbours (Å) after each atom.
Positions (direct):
Al 0.9997 0.9845 0.9842  5 Cl 2.11-2.33
H 0.4994 0.9324 0.4322  2 Cl 1.56-1.57
H 0.4999 0.4323 0.9328  2 Cl 1.56-1.57
Cl 0.1577 0.7730 0.2381  1 H 1.56
Cl 0.4654 0.2384 0.0807  1 H 1.56
Cl 0.5349 0.6157 0.7732  1 H 1.57
Cl 0.8425 0.0812 0.6157  1 H 1.57
Cl 0.0005 0.1656 0.1661  1 Al 2.11


A plane-wave DFT calculation with PBE was carried out for Li3InB after structural relaxation.

Calculated values
**E_form**: 1.68 eV/f.u.
**Polymorph energy (0 for the lowest one)**: 0.0 meV per atom

a b c (Å): 4.3231 4.3231 4.3231
angles (deg): 90.00 90.00 90.00
With the nearest neighbours (Å) after each atom.
Positions (direct):
B 0.0000 0.0000 0.0000  6 Li 2.16
Li 0.0000 0.5000 0.0000  2 B 2.16
Li 0.0000 0.0000 0.5000  2 B 2.16
Li 0.5000 0.0000 0.0000  2 B 2.16
In 0.5000 0.5000 0.5000  12 Li 3.06


A plane-wave DFT calculation with PBE was carried out for LaCuNi after structural relaxation.

Calculated values
**E_form**: 1.25 eV/f.u.

a b c (Å): 4.6996 4.6996 4.6996
angles (deg): 60.00 60.00 60.00
With the nearest neighbours (Å) after each atom.
Positions (direct):
Cu 0.5000 0.5000 0.5000  4 La 2.88
La 0.7500 0.7500 0.7500  4 Ni 2.88, 4 Cu 2.88
Ni 0.0000 0.0000 0.0000  4 La 2.88


A plane-wave DFT calculation with PBE was carried out for MgRh2 after structural relaxation.

Calculated values
**E_form**: -0.56 eV/f.u.

a b c (Å): 4.3900 4.3900 2.7982
angles (deg): 90.00 90.00 120.00
With the nearest neighbours (Å) after each atom.
Positions (direct):
Mg 0.0000 0.0000 0.5000  2 Mg 2.80, 12 Rh 2.90
Rh 0.6667 0.3333 0.0000  5 Rh 2.53-2.80
Rh 0.3333 0.6667 0.0000  5 Rh 2.53-2.80


A plane-wave DFT calculation with PBE was carried out for InCuPtO4 after structural relaxation.

Calculated values
**Raw formation energy**: -0.80 eV per atom

a b c (Å): 6.3004 6.3209 6.3822
angles (deg): 120.32 90.00 119.89
With the nearest neighbours (Å) after each atom.
Positions (direct):
In 0.5000 0.0000 0.5000  6 O 2.18-2.24
In 0.5000 0.0000 0.0000  6 O 2.18-2.24
Cu 0.8819 0.7638 0.1319  4 O 2.05-2.15
Cu 0.1181 0.2362 0.8681  4 O 2.05-2.15
Pt 0.5000 0.5000 0.5000  6 O 2.08-2.10
Pt 0.0000 0.5000 0.5000  6 O 2.08-2.10
O 0.7500 0.4999 0.7174  2 Pt 2.10, 1 Cu 2.15, 1 In 2.24
O 0.2812 0.0333 0.2666  1 Cu 2.05, 1 Pt 2.08, 2 In 2.18
O 0.7520 0.0333 0.2666  1 Cu 2.05, 1 Pt 2.08, 2 In 2.18
O 0.7500 0.4999 0.2825  2 Pt 2.10, 1 Cu 2.15, 1 In 2.24
O 0.2500 0.5001 0.7175  2 Pt 2.10, 1 Cu 2.15, 1 In 2.24
O 0.7188 0.9667 0.7334  1 Cu 2.05, 1 Pt 2.08, 2 In 2.18
O 0.2480 0.9667 0.7334  1 Cu 2.05, 1 Pt 2.08, 2 In 2.18
O 0.2500 0.5001 0.2826  2 Pt 2.10, 1 Cu 2.15, 1 In 2.24


A plane-wave DFT calculation with PBE was carried out for Ac4Ni2Cl after structural relaxation.

Calculated values
**Raw formation energy**: -0.59 eV per atom

a b c (Å): 4.2832 4.2832 15.2376
angles (deg): 81.92 81.92 60.00
With the nearest neighbours (Å) after each atom.
Positions (direct):
Ni 0.4217 0.4217 0.7348  6 Ac 2.94
Ni 0.5783 0.5783 0.2652  6 Ac 2.94
Ac 0.1237 0.1237 0.6289  3 Ni 2.94
Ac 0.2803 0.2803 0.1591  3 Ni 2.94
Ac 0.7197 0.7197 0.8409  3 Ni 2.94
Ac 0.8763 0.8763 0.3711  3 Ni 2.94
Cl 0.0000 0.0000 0.0000  6 Ac 3.44


A plane-wave DFT calculation with PBE was carried out for CuTc2 after structural relaxation.

Calculated values
**E_form**: 0.28 eV/f.u.
**Polymorph energy (0 for the lowest one)**: 5.1 meV per atom

a b c (Å): 2.7395 7.1282 4.3079
angles (deg): 90.00 90.00 78.92
With the nearest neighbours (Å) after each atom.
Positions (direct):
Cu 0.3336 0.3328 0.0000  10 Tc 2.63-2.75, 2 Cu 2.74
Cu 0.5553 0.8895 0.5000  10 Tc 2.63-2.75, 2 Cu 2.74
Tc 0.9991 0.0018 0.0000  6 Tc 2.64-2.74, 6 Cu 2.67-2.69
Tc 0.6630 0.6740 0.0000  4 Cu 2.63-2.75, 8 Tc 2.67-2.74
Tc 0.2259 0.5482 0.5000  4 Cu 2.63-2.75, 8 Tc 2.67-2.74
Tc 0.8898 0.2204 0.5000  6 Tc 2.64-2.74, 6 Cu 2.67-2.69


A plane-wave DFT calculation with PBE was carried out for Tb3Pr2Sc3 after structural relaxation.

Calculated values
**E_form**: 2.01 eV/f.u.
**Polymorph energy (0 for the lowest one)**: 127.0 meV per atom

a b c (Å): 6.1791 6.1791 8.4093
angles (deg): 68.45 68.45 60.00
With the nearest neighbours (Å) after each atom.
Positions (direct):
Tb 0.5000 0.5000 0.5000  6 Pr 3.69
Tb 0.9293 0.9293 0.2121  1 Pr 3.15, 1 Tb 3.23, 6 Sc 3.49
Tb 0.0707 0.0707 0.7879  1 Pr 3.15, 1 Tb 3.23, 6 Sc 3.49
Pr 0.2085 0.2085 0.3746  1 Tb 3.15, 3 Sc 3.36
Pr 0.7915 0.7915 0.6254  1 Tb 3.15, 3 Sc 3.36
Sc 0.5000 0.0000 0.0000  4 Sc 3.09, 2 Pr 3.36
Sc 0.5000 0.5000 0.0000  4 Sc 3.09, 2 Pr 3.36
Sc 0.0000 0.5000 0.0000  4 Sc 3.09, 2 Pr 3.36


A plane-wave DFT calculation with PBE was carried out for Tl2AgAuBr6 after structural relaxation.

Calculated values
**Raw formation energy**: -0.48 eV per atom

a b c (Å): 8.7568 7.2116 10.8570
angles (deg): 90.00 79.29 90.00
With the nearest neighbours (Å) after each atom.
Positions (direct):
Tl 0.9822 0.9789 0.2687  5 Br 3.34-3.60
Tl 0.4822 0.5211 0.7687  5 Br 3.34-3.60
Tl 0.0178 0.0211 0.7313  5 Br 3.34-3.60
Tl 0.5178 0.4789 0.2313  5 Br 3.34-3.60
Ag 0.5000 0.0000 0.0000  2 Br 2.51
Ag 0.0000 0.5000 0.5000  2 Br 2.51
Au 0.5000 0.0000 0.5000  4 Br 2.50-2.51
Au 0.0000 0.5000 0.0000  4 Br 2.50-2.51
Br 0.3190 0.7314 0.0576  1 Ag 2.51
Br 0.8190 0.7686 0.5576  1 Ag 2.51
Br 0.6810 0.2686 0.9424  1 Ag 2.51
Br 0.1810 0.2314 0.4424  1 Ag 2.51
Br 0.3341 0.7195 0.4891  1 Au 2.51
Br 0.8341 0.7805 0.9891  1 Au 2.51
Br 0.6659 0.2805 0.5109  1 Au 2.51
Br 0.1659 0.2195 0.0109  1 Au 2.51
Br 0.9134 0.4921 0.2330  1 Au 2.50
Br 0.4134 0.0079 0.7330  1 Au 2.50
Br 0.0866 0.5079 0.7670  1 Au 2.50
Br 0.5866 0.9921 0.2670  1 Au 2.50


Number 1: magnetization 0.10 μB per formula unit, calculated volume 334.3 Å³ per cell. Number 2: magnetization 0.06 μB per formula unit, calculated volume 240.7 Å³ per cell. Number 3: magnetization 0.40 μB per formula unit, calculated volume 80.8 Å³ per cell. Number 4: magnetization 0.00 μB per formula unit, calculated volume 73.4 Å³ per cell. Number 5: magnetization 0.00 μB per formula unit, calculated volume 46.7 Å³ per cell. Number 6: magnetization 0.00 μB per formula unit, calculated volume 179.1 Å³ per cell. Number 7: magnetization 0.00 μB per formula unit, calculated volume 238.9 Å³ per cell. Number 8: magnetization 0.00 μB per formula unit, calculated volume 82.6 Å³ per cell. Number 9: magnetization 0.01 μB per formula unit, calculated volume 251.8 Å³ per cell. Number 10: magnetization 0.00 μB per formula unit, calculated volume 673.7 Å³ per cell.